# Co2IrW

A relaxed Co2IrW crystal (PBE-GGA, Alexandria via LeMat-Bulk).

Summary:
Fermi-level density of states, states/eV/atom: 1.34
DFT formation energy, eV/atom: 0.0900
Size of the total moment, μB/f.u.: 2.08

Unit cell a=2.668 b=2.668 c=7.318 alpha=90.00 beta=90.00 gamma=90.00
Space group P4/mmm (No. 123)
Inequivalent atoms, fractional coordinates:
Co (0.000, 0.000, 0.245) [2 per cell]
Ir (0.500, 0.500, 0.000) [1 per cell]
W (0.500, 0.500, 0.500) [1 per cell]

# CoIrW3

A relaxed CoIrW3 crystal (PBE-GGA, Alexandria via LeMat-Bulk).

Summary:
Fermi-level density of states, states/eV/atom: 1.45
DFT formation energy, eV/atom: 1.3394
Size of the total moment, μB/f.u.: 0.00
Offset from the most stable computed form, eV/atom: 0.0000

Unit cell a=4.395 b=4.395 c=4.395 alpha=90.00 beta=90.00 gamma=90.00
Space group Pm-3m (No. 221)
Inequivalent atoms, fractional coordinates:
Co (0.000, 0.000, 0.000) [1 per cell]
Ir (0.500, 0.500, 0.500) [1 per cell]
W (0.000, 0.000, 0.500) [3 per cell]

# CoIrW

A relaxed CoIrW crystal (PBE-GGA, Alexandria via LeMat-Bulk).

Summary:
Fermi-level density of states, states/eV/atom: 1.09
DFT formation energy, eV/atom: -0.0956
Size of the total moment, μB/f.u.: 0.78
Offset from the most stable computed form, eV/atom: 0.0238

Unit cell a=8.616 b=3.781 c=5.396 alpha=90.00 beta=109.50 gamma=90.00
Space group C2/m (No. 12)
Inequivalent atoms, fractional coordinates:
Co (0.166, 0.000, 0.073) [4 per cell]
Ir (0.171, 0.000, 0.600) [4 per cell]
W (0.001, 0.500, 0.755) [4 per cell]

# Co2IrW2

A relaxed Co2IrW2 crystal (PBE-GGA, Alexandria via LeMat-Bulk).

Summary:
Fermi-level density of states, states/eV/atom: 1.29
DFT formation energy, eV/atom: 0.3537
Size of the total moment, μB/f.u.: 0.00
Offset from the most stable computed form, eV/atom: 0.3725

Unit cell a=7.214 b=7.214 c=2.700 alpha=90.00 beta=90.00 gamma=90.00
Space group P4/mbm (No. 127)
Inequivalent atoms, fractional coordinates:
Co (0.169, 0.331, 0.000) [4 per cell]
Ir (0.000, 0.000, 0.500) [2 per cell]
W (0.128, 0.628, 0.500) [4 per cell]

# Co2IrW

A relaxed Co2IrW crystal (PBE-GGA, Alexandria via LeMat-Bulk).

Summary:
Fermi-level density of states, states/eV/atom: 1.01
DFT formation energy, eV/atom: 0.0203
Size of the total moment, μB/f.u.: 3.05

Unit cell a=2.732 b=2.732 c=7.060 alpha=90.00 beta=90.00 gamma=90.00
Space group P4mm (No. 99)
Inequivalent atoms, fractional coordinates:
Co (0.000, 0.000, 0.000) [1 per cell]
Co (0.500, 0.500, 0.213) [1 per cell]
Ir (0.000, 0.000, 0.468) [1 per cell]
W (0.500, 0.500, 0.746) [1 per cell]

# CoIrW2

A relaxed CoIrW2 crystal (PBE-GGA, Alexandria via LeMat-Bulk).

Summary:
Fermi-level density of states, states/eV/atom: 1.15
DFT formation energy, eV/atom: 0.1258
Size of the total moment, μB/f.u.: 0.02
Offset from the most stable computed form, eV/atom: 0.2480

Unit cell a=2.7654 b=2.7654 c=26.3595 alpha=90.00 beta=90.00 gamma=120.00
Space group R-3m (No. 166, hexagonal axes)
Inequivalent atoms, fractional coordinates:
Co (0.0000, 0.0000, 0.0000) [3 per cell]
Ir (0.0000, 0.0000, 0.5000) [3 per cell]
W (0.0000, 0.0000, 0.2528) [6 per cell]

# CoIrW2

A relaxed CoIrW2 crystal (PBE-GGA, Alexandria via LeMat-Bulk).

Summary:
Fermi-level density of states, states/eV/atom: 0.66
DFT formation energy, eV/atom: -0.0822
Size of the total moment, μB/f.u.: 0.00
Offset from the most stable computed form, eV/atom: 0.0400

Unit cell a=5.429 b=7.719 c=2.739 alpha=90.00 beta=90.00 gamma=90.00
Space group Cmmm (No. 65)
Inequivalent atoms, fractional coordinates:
Co (0.000, 0.000, 0.000) [2 per cell]
Ir (0.000, 0.500, 0.000) [2 per cell]
W (0.250, 0.250, 0.500) [4 per cell]

# Co2IrW

A relaxed Co2IrW crystal (PBE-GGA, Alexandria via LeMat-Bulk).

Summary:
Fermi-level density of states, states/eV/atom: 0.98
DFT formation energy, eV/atom: -0.0765
Size of the total moment, μB/f.u.: 1.18

Unit cell a=3.748 b=3.748 c=7.329 alpha=90.00 beta=90.00 gamma=90.00
Space group I4/mmm (No. 139)
Inequivalent atoms, fractional coordinates:
Co (0.000, 0.500, 0.250) [4 per cell]
Ir (0.000, 0.000, 0.000) [2 per cell]
W (0.000, 0.000, 0.500) [2 per cell]

# Co4IrW

A relaxed Co4IrW crystal (PBE-GGA, Alexandria via LeMat-Bulk).

Summary:
Fermi-level density of states, states/eV/atom: 1.87
DFT formation energy, eV/atom: -0.0092
Size of the total moment, μB/f.u.: 5.15

Unit cell a=6.615 b=6.615 c=6.615 alpha=90.00 beta=90.00 gamma=90.00
Space group F-43m (No. 216)
Inequivalent atoms, fractional coordinates:
Co (0.125, 0.125, 0.125) [16 per cell]
Ir (0.250, 0.250, 0.750) [4 per cell]
W (0.000, 0.000, 0.500) [4 per cell]

# CoIr3W

A relaxed CoIr3W crystal (PBE-GGA, Alexandria via LeMat-Bulk).

Summary:
Fermi-level density of states, states/eV/atom: 1.29
DFT formation energy, eV/atom: 1.5746
Size of the total moment, μB/f.u.: 1.40
Offset from the most stable computed form, eV/atom: 0.0000

Unit cell a=4.383 b=4.383 c=4.383 alpha=90.00 beta=90.00 gamma=90.00
Space group Pm-3m (No. 221)
Inequivalent atoms, fractional coordinates:
Co (0.000, 0.000, 0.000) [1 per cell]
Ir (0.000, 0.000, 0.500) [3 per cell]
W (0.500, 0.500, 0.500) [1 per cell]

# CoIrW

A relaxed CoIrW crystal (PBE-GGA, Alexandria via LeMat-Bulk).

Summary:
Fermi-level density of states, states/eV/atom: 0.47
DFT formation energy, eV/atom: 0.3176
Size of the total moment, μB/f.u.: 0.00
Offset from the most stable computed form, eV/atom: 0.4370

Unit cell a=5.809 b=5.809 c=5.809 alpha=90.00 beta=90.00 gamma=90.00
Space group F-43m (No. 216)
Inequivalent atoms, fractional coordinates:
Co (0.000, 0.000, 0.000) [4 per cell]
Ir (0.000, 0.000, 0.500) [4 per cell]
W (0.250, 0.250, 0.250) [4 per cell]

# CoIrW2

A relaxed CoIrW2 crystal (PBE-GGA, Alexandria via LeMat-Bulk).

Summary:
Fermi-level density of states, states/eV/atom: 1.33
DFT formation energy, eV/atom: 0.1615
Size of the total moment, μB/f.u.: 0.01
Offset from the most stable computed form, eV/atom: 0.2837

Unit cell a=6.147 b=6.147 c=6.147 alpha=90.00 beta=90.00 gamma=90.00
Space group F-43m (No. 216)
Inequivalent atoms, fractional coordinates:
Co (0.000, 0.000, 0.000) [4 per cell]
Ir (0.250, 0.250, 0.250) [4 per cell]
W (0.000, 0.000, 0.500) [4 per cell]
W (0.250, 0.250, 0.750) [4 per cell]

Repeat the eleventh record exactly.
# CoIrW

A relaxed CoIrW crystal (PBE-GGA, Alexandria via LeMat-Bulk).

Summary:
Fermi-level density of states, states/eV/atom: 0.47
DFT formation energy, eV/atom: 0.3176
Size of the total moment, μB/f.u.: 0.00
Offset from the most stable computed form, eV/atom: 0.4370

Unit cell a=5.809 b=5.809 c=5.809 alpha=90.00 beta=90.00 gamma=90.00
Space group F-43m (No. 216)
Inequivalent atoms, fractional coordinates:
Co (0.000, 0.000, 0.000) [4 per cell]
Ir (0.000, 0.000, 0.500) [4 per cell]
W (0.250, 0.250, 0.250) [4 per cell]